The following is a DFT calculation (PBEsol) of crystalline NaTi8O16 at its relaxed geometry.

Calculated values
uncorrected energy = -225.2 eV/cell
symmetry = No. 8
energy relative to the elements, uncorrected = -73.18 eV/f.u.
D(E_F) = 0.370 states/eV/atom

a = 5.9150 Å, b = 5.9150 Å, c = 10.6697 Å
α = 113.72°, β = 113.72°, γ = 60.03°
With the nearest neighbours (Å) after each atom.
Fractional positions:
Na1 0.0000 0.0000 0.0000  3 O 2.05-2.16
Ti1 0.2953 0.2953 0.5889  6 O 1.93-2.02
Ti2 0.3077 0.3077 0.0907  6 O 1.92-2.07
Ti3 0.3924 0.8996 0.3114  6 O 1.92-2.02
Ti4 0.3965 0.8990 0.8013  6 O 1.92-2.00
Ti5 0.7677 0.7677 0.0855  6 O 1.87-2.06
Ti6 0.7911 0.7911 0.5845  6 O 1.94-2.00
Ti7 0.8990 0.3965 0.8013  6 O 1.92-2.00
Ti8 0.8996 0.3924 0.3114  6 O 1.92-2.02
O1 0.0013 0.0013 0.7298  3 Ti 1.98
O2 0.0783 0.5817 0.4882  3 Ti 1.94-1.96
O3 0.1063 0.1063 0.4051  3 Ti 1.92-2.02
O4 0.1729 0.6923 0.1624  3 Ti 1.92-2.06
O5 0.2096 0.2096 0.2226  3 Ti 2.01-2.07
O6 0.2891 0.2891 0.9024  3 Ti 1.93-1.99
O7 0.3968 0.9043 0.9902  3 Ti 1.90-2.06
O8 0.4745 0.9796 0.6683  3 Ti 1.93-2.00
O9 0.5028 0.5028 0.7211  3 Ti 1.93-1.99
O10 0.5817 0.0783 0.4882  3 Ti 1.94-1.96
O11 0.6040 0.6040 0.4035  3 Ti 1.95-1.99
O12 0.6923 0.1729 0.1624  3 Ti 1.92-2.06
O13 0.7049 0.7049 0.2244  3 Ti 1.87-2.00
O14 0.7743 0.7743 0.8958  3 Ti 1.92-2.06, 1 Na 2.05
O15 0.9043 0.3968 0.9902  3 Ti 1.90-2.06
O16 0.9796 0.4745 0.6683  3 Ti 1.93-2.00



The following is a DFT calculation (PBEsol) of crystalline Na2TiO3 at its relaxed geometry.

Calculated values
uncorrected energy = -165.7 eV/cell
symmetry = No. 15
energy relative to the elements, uncorrected = -14.55 eV/f.u.
D(E_F) = 0.000 states/eV/atom

a = 5.3094 Å, b = 5.3094 Å, c = 10.9101 Å
α = 94.81°, β = 94.81°, γ = 120.02°
With the nearest neighbours (Å) after each atom.
Fractional positions:
Na1 0.0000 0.5000 0.5000  6 O 2.23-2.48
Na2 0.0853 0.9147 0.7500  6 O 2.28-2.29
Na3 0.1582 0.3165 0.9997  6 O 2.25-2.52
Na4 0.3165 0.1582 0.4997  6 O 2.25-2.52
Na5 0.5000 0.0000 0.0000  6 O 2.23-2.48
Na6 0.6835 0.8418 0.5003  6 O 2.25-2.52
Na7 0.8418 0.6835 0.0003  6 O 2.25-2.52
Na8 0.9147 0.0853 0.2500  6 O 2.28-2.29
Ti1 0.2495 0.7505 0.2500  6 O 1.98-2.01
Ti2 0.4184 0.5816 0.7500  6 O 1.98-2.00
Ti3 0.5816 0.4184 0.2500  6 O 1.98-2.00
Ti4 0.7505 0.2495 0.7500  6 O 1.98-2.01
O1 0.0511 0.2564 0.6472  2 Ti 2.00-2.01, 1 Na 2.23
O2 0.1201 0.5704 0.8510  2 Ti 1.98-1.99
O3 0.2564 0.0511 0.1472  2 Ti 2.00-2.01, 1 Na 2.23
O4 0.3266 0.4984 0.3515  2 Ti 1.98-2.00
O5 0.4296 0.8799 0.6490  2 Ti 1.98-1.99
O6 0.4984 0.3266 0.8515  2 Ti 1.98-2.00
O7 0.5016 0.6734 0.1485  2 Ti 1.98-2.00
O8 0.5704 0.1201 0.3510  2 Ti 1.98-1.99
O9 0.6734 0.5016 0.6485  2 Ti 1.98-2.00
O10 0.7436 0.9489 0.8528  2 Ti 2.00-2.01, 1 Na 2.23
O11 0.8799 0.4296 0.1490  2 Ti 1.98-1.99
O12 0.9489 0.7436 0.3528  2 Ti 2.00-2.01, 1 Na 2.23



The following is a DFT calculation (PBEsol) of crystalline NaTi2O4 at its relaxed geometry.

Calculated values
uncorrected energy = -116.8 eV/cell
symmetry = No. 227
energy relative to the elements, uncorrected = -19.35 eV/f.u.
D(E_F) = 0.400 states/eV/atom
relative energy among the computed polymorphs = 1.9 kJ/mol of atoms

a = 6.0950 Å, b = 6.0950 Å, c = 6.0950 Å
α = 60.00°, β = 60.00°, γ = 60.00°
With the nearest neighbours (Å) after each atom.
Fractional positions:
Na1 0.1250 0.1250 0.1250  4 O 2.14
Na2 0.8750 0.8750 0.8750  4 O 2.14
Ti1 0.0000 0.5000 0.5000  6 O 2.01
Ti2 0.5000 0.0000 0.5000  6 O 2.01
Ti3 0.5000 0.5000 0.0000  6 O 2.01
Ti4 0.5000 0.5000 0.5000  6 O 2.01
O1 0.2684 0.2684 0.2684  3 Ti 2.01, 1 Na 2.14
O2 0.2684 0.2684 0.6948  3 Ti 2.01, 1 Na 2.14
O3 0.2684 0.6948 0.2684  3 Ti 2.01, 1 Na 2.14
O4 0.3052 0.7316 0.7316  3 Ti 2.01, 1 Na 2.14
O5 0.6948 0.2684 0.2684  3 Ti 2.01, 1 Na 2.14
O6 0.7316 0.3052 0.7316  3 Ti 2.01, 1 Na 2.14
O7 0.7316 0.7316 0.3052  3 Ti 2.01, 1 Na 2.14
O8 0.7316 0.7316 0.7316  3 Ti 2.01, 1 Na 2.14



The following is a DFT calculation (PBEsol) of crystalline Na6Ti11O24 at its relaxed geometry.

Calculated values
uncorrected energy = -338.3 eV/cell
symmetry = No. 8
energy relative to the elements, uncorrected = -112.37 eV/f.u.
D(E_F) = 0.185 states/eV/atom

a = 6.1425 Å, b = 6.1425 Å, c = 14.9453 Å
α = 91.51°, β = 91.51°, γ = 58.80°
With the nearest neighbours (Å) after each atom.
Fractional positions:
Na1 0.0000 0.0000 0.0000  4 O 2.13-2.16
Na2 0.0093 0.0093 0.7438  4 O 2.13-2.16
Na3 0.3508 0.3508 0.6651  4 O 2.17-2.21
Na4 0.5047 0.5047 0.8716  6 O 2.15-2.32
Na5 0.6564 0.6564 0.0754  4 O 2.16-2.22
Na6 0.6700 0.6700 0.3285  4 O 2.12-2.14
Ti1 0.0024 0.0024 0.3746  6 O 1.96-2.02
Ti2 0.0036 0.5061 0.8704  6 O 1.92-2.06
Ti3 0.1614 0.6617 0.2085  6 O 1.98-2.01
Ti4 0.1684 0.1684 0.2120  6 O 1.96-2.11
Ti5 0.3274 0.3274 0.0350  4 O 1.83-2.05
Ti6 0.3448 0.8483 0.5338  6 O 1.97-2.02
Ti7 0.5061 0.0036 0.8704  6 O 1.92-2.06
Ti8 0.6617 0.1614 0.2085  6 O 1.98-2.01
Ti9 0.6784 0.6784 0.7053  4 O 1.85-2.05
Ti10 0.8443 0.8443 0.5342  6 O 1.98-2.04
Ti11 0.8483 0.3448 0.5338  6 O 1.97-2.02
O1 0.0139 0.0139 0.5997  3 Ti 2.01-2.04, 1 Na 2.16
O2 0.0386 0.4691 0.1354  3 Ti 1.97-2.15, 1 Na 2.19
O3 0.1500 0.1500 0.4584  3 Ti 1.97-1.98
O4 0.1547 0.7227 0.4595  3 Ti 1.96-2.01
O5 0.1658 0.6079 0.9643  2 Ti 1.83-1.97
O6 0.1843 0.1843 0.9470  3 Ti 1.99-2.06, 1 Na 2.15
O7 0.2829 0.8545 0.2832  3 Ti 2.00-2.02, 1 Na 2.14
O8 0.3212 0.3212 0.8090  2 Ti 1.92
O9 0.3314 0.3314 0.2747  3 Ti 1.96-2.01
O10 0.4010 0.8440 0.7793  2 Ti 1.85-1.94
O11 0.4671 0.4671 0.1316  3 Ti 2.00-2.05, 1 Na 2.22
O12 0.4691 0.0386 0.1354  3 Ti 1.97-2.15, 1 Na 2.19
O13 0.5403 0.9666 0.6093  3 Ti 1.98-2.10, 1 Na 2.17
O14 0.5413 0.5413 0.6128  3 Ti 1.99-2.02, 1 Na 2.21
O15 0.6079 0.1658 0.9643  2 Ti 1.83-1.97
O16 0.6760 0.6760 0.4705  3 Ti 1.99-2.01, 1 Na 2.12
O17 0.6888 0.6888 0.9335  2 Ti 1.92
O18 0.7227 0.1547 0.4595  3 Ti 1.96-2.01
O19 0.8253 0.8253 0.7967  3 Ti 2.02-2.05, 1 Na 2.14
O20 0.8440 0.4010 0.7793  2 Ti 1.85-1.94
O21 0.8545 0.2829 0.2832  3 Ti 2.00-2.02, 1 Na 2.14
O22 0.8585 0.8585 0.2848  3 Ti 1.98-2.01, 1 Na 2.14
O23 0.9666 0.5403 0.6093  3 Ti 1.98-2.10, 1 Na 2.17
O24 0.9925 0.9925 0.1441  3 Ti 2.00-2.11, 1 Na 2.16



The following is a DFT calculation (PBEsol) of crystalline Na3Ti8O16 at its relaxed geometry.

Calculated values
uncorrected energy = -461.0 eV/cell
symmetry = No. 59
energy relative to the elements, uncorrected = -75.74 eV/f.u.
D(E_F) = 0.342 states/eV/atom
relative energy among the computed polymorphs = 2.7 kJ/mol of atoms

a = 6.0568 Å, b = 12.1187 Å, c = 8.5541 Å
α = 90.00°, β = 90.00°, γ = 90.00°
With the nearest neighbours (Å) after each atom.
Fractional positions:
Na1 0.2500 0.0007 0.1263  4 O 2.13-2.15
Na2 0.2500 0.4993 0.1263  4 O 2.13-2.15
Na3 0.2500 0.7500 0.3770  4 O 2.12-2.14
Na4 0.7500 0.2500 0.6230  4 O 2.12-2.14
Na5 0.7500 0.5007 0.8737  4 O 2.13-2.15
Na6 0.7500 0.9993 0.8737  4 O 2.13-2.15
Ti1 0.0000 0.0000 0.5000  6 O 1.99-2.01
Ti2 0.0000 0.5000 0.5000  6 O 1.99-2.01
Ti3 0.0046 0.2500 0.0078  6 O 1.96-2.05
Ti4 0.2500 0.1273 0.7412  6 O 1.94-2.06
Ti5 0.2500 0.3727 0.7412  6 O 1.94-2.06
Ti6 0.2500 0.6271 0.7475  6 O 1.99-2.02
Ti7 0.2500 0.8729 0.7475  6 O 1.99-2.02
Ti8 0.4954 0.2500 0.0078  6 O 1.96-2.05
Ti9 0.5000 0.0000 0.5000  6 O 1.99-2.01
Ti10 0.5000 0.5000 0.5000  6 O 1.99-2.01
Ti11 0.5046 0.7500 0.9922  6 O 1.96-2.05
Ti12 0.7500 0.1271 0.2525  6 O 1.99-2.02
Ti13 0.7500 0.3729 0.2525  6 O 1.99-2.02
Ti14 0.7500 0.6273 0.2588  6 O 1.94-2.06
Ti15 0.7500 0.8727 0.2588  6 O 1.94-2.06
Ti16 0.9954 0.7500 0.9922  6 O 1.96-2.05
O1 0.0341 0.7500 0.7647  3 Ti 1.96-1.99
O2 0.0355 0.2500 0.7694  3 Ti 1.99-2.05, 1 Na 2.14
O3 0.0378 0.0012 0.7311  3 Ti 1.99-2.02, 1 Na 2.13
O4 0.0378 0.4988 0.7311  3 Ti 1.99-2.02, 1 Na 2.13
O5 0.2500 0.1081 0.5158  3 Ti 1.94-2.01
O6 0.2500 0.1433 0.9812  3 Ti 1.98-2.06, 1 Na 2.13
O7 0.2500 0.3567 0.9812  3 Ti 1.98-2.06, 1 Na 2.13
O8 0.2500 0.3919 0.5158  3 Ti 1.94-2.01
O9 0.2500 0.6057 0.5161  3 Ti 1.99-2.00, 1 Na 2.12
O10 0.2500 0.6430 0.9793  3 Ti 1.99-2.02, 1 Na 2.15
O11 0.2500 0.8570 0.9793  3 Ti 1.99-2.02, 1 Na 2.15
O12 0.2500 0.8943 0.5161  3 Ti 1.99-2.00, 1 Na 2.12
O13 0.4622 0.0012 0.7311  3 Ti 1.99-2.02, 1 Na 2.13
O14 0.4622 0.4988 0.7311  3 Ti 1.99-2.02, 1 Na 2.13
O15 0.4645 0.2500 0.7694  3 Ti 1.99-2.05, 1 Na 2.14
O16 0.4659 0.7500 0.7647  3 Ti 1.96-1.99
O17 0.5341 0.2500 0.2353  3 Ti 1.96-1.99
O18 0.5355 0.7500 0.2306  3 Ti 1.99-2.05, 1 Na 2.14
O19 0.5378 0.5012 0.2689  3 Ti 1.99-2.02, 1 Na 2.13
O20 0.5378 0.9988 0.2689  3 Ti 1.99-2.02, 1 Na 2.13
O21 0.7500 0.1057 0.4839  3 Ti 1.99-2.00, 1 Na 2.12
O22 0.7500 0.1430 0.0207  3 Ti 1.99-2.02, 1 Na 2.15
O23 0.7500 0.3570 0.0207  3 Ti 1.99-2.02, 1 Na 2.15
O24 0.7500 0.3943 0.4839  3 Ti 1.99-2.00, 1 Na 2.12
O25 0.7500 0.6081 0.4842  3 Ti 1.94-2.01
O26 0.7500 0.6433 0.0188  3 Ti 1.98-2.06, 1 Na 2.13
O27 0.7500 0.8567 0.0188  3 Ti 1.98-2.06, 1 Na 2.13
O28 0.7500 0.8919 0.4842  3 Ti 1.94-2.01
O29 0.9622 0.5012 0.2689  3 Ti 1.99-2.02, 1 Na 2.13
O30 0.9622 0.9988 0.2689  3 Ti 1.99-2.02, 1 Na 2.13
O31 0.9645 0.7500 0.2306  3 Ti 1.99-2.05, 1 Na 2.14
O32 0.9659 0.2500 0.2353  3 Ti 1.96-1.99